This record from the Alexandria database describes a relaxed structure of Na2H4Pd5. The functional is PBE-GGA.

a b c (Å): 5.4721 9.5767 10.9197
angles (deg): 90.00 90.00 90.00
With the nearest neighbours (Å) after each atom.
Space group Fmmm (No. 69)
One atom of each set of equivalent atoms:
Na (0.0000, 0.0000, 0.1478)  2 H 2.53
H (0.0000, 0.2364, 0.3700)  4 Pd 1.90-1.98
Pd (0.0000, 0.0000, 0.5000)  4 H 2.67, 4 Pd 2.76
Pd (0.2500, 0.2500, 0.0000)  4 H 1.98
Pd (0.2500, 0.2500, 0.2500)  4 H 1.90

Summary:
As for the spin magnetization: 0.00 μB per cell.

=====

This record from the Alexandria database describes a relaxed structure of NaHPd3. The functional is PBE-GGA.

a b c (Å): 6.0453 4.8564 4.7633
angles (deg): 90.00 90.00 90.00
With the nearest neighbours (Å) after each atom.
Space group Pmn2_1 (No. 31)
One atom of each set of equivalent atoms:
Na (0.0000, 0.1829, 0.0000)  1 H 2.30
H (0.0000, 0.7338, 0.8477)  3 Pd 1.75-1.77
Pd (0.0000, 0.8051, 0.4835)  1 H 1.77
Pd (0.2398, 0.3206, 0.5003)  1 H 1.75

Summary:
As for the spin magnetization: 0.00 μB per cell.

=====

This record from the Alexandria database describes a relaxed structure of Na2H2Pd. The functional is PBE-GGA.

a b c (Å): 3.5580 3.5580 11.3052
angles (deg): 90.00 90.00 90.00
With the nearest neighbours (Å) after each atom.
Space group I4/mmm (No. 139)
One atom of each set of equivalent atoms:
Na (0.0000, 0.0000, 0.1410)  5 H 2.36-2.52
H (0.0000, 0.0000, 0.3497)  1 Pd 1.70
Pd (0.0000, 0.0000, 0.5000)  2 H 1.70

Summary:
As for the spin magnetization: 0.00 μB per cell.

=====

| no. | total DFT energy (no corrections) (eV per cell) |
| --- | --- |
| 1 | -174.17 |
| 2 | -41.20 |
| 3 | -31.82 |